## MgMn4O6 (PBE with a Hubbard U)

Data for a relaxed MgMn4O6 crystal.

Density of states at the Fermi level   2.65 states/eV/f.u.
Uncorrected energy   -321.98 eV per cell

```
data_MgMn4O6
_chemical_formula_sum 'Mg4 Mn16 O24'
_cell_length_a 3.0391
_cell_length_b 10.2486
_cell_length_c 15.4116
_cell_angle_alpha 90.00
_cell_angle_beta 90.00
_cell_angle_gamma 90.00
_symmetry_space_group_name_H-M 'C m c m'
_symmetry_Int_Tables_number 63
_symmetry_space_group_name_Hall '-C 2c 2'
loop_
_atom_site_label
_atom_site_fract_x
_atom_site_fract_y
_atom_site_fract_z
Mg1 0.0000 0.1610 0.2500
Mn1 0.0000 0.0946 0.6405
Mn2 0.0000 0.3634 0.5457
O1 0.0000 0.0000 0.0000
O2 0.0000 0.2032 0.7500
O3 0.0000 0.2806 0.0732
O4 0.0000 0.4448 0.6600
```